# 1
NaFeO2 (PBE+U, optimized geometry); DOS(E_F) = 0.000 states/eV/atom; space-group type = P4_12_12; raw total energy = -92.1 eV/cell
1.0
-1.8293 -4.7047 -2.5646
5.3384 -1.3673 -1.2997
0.5950 -3.6653 6.2995
O Fe Na
8 4 4
direct
0.2790 0.3525 0.2151
0.2210 0.8525 0.0349
0.7210 0.6475 0.7151
0.8525 0.2210 0.9651
0.1475 0.7790 0.4651
0.3525 0.2790 0.7849
0.7790 0.1475 0.5349
0.6475 0.7210 0.2849
0.8124 0.8124 0.5000
0.3124 0.6876 0.2500
0.1876 0.1876 0.0000
0.6876 0.3124 0.7500
0.8021 0.8021 0.0000
0.3021 0.6979 0.7500
0.6979 0.3021 0.2500
0.1979 0.1979 0.5000



# 2
VIn3O (PBE+U, optimized geometry); DOS(E_F) = 0.772 states/eV/atom; space-group type = Pm-3m; raw total energy = -19.6 eV/cell
1.0
4.7402 0.0000 0.0000
0.0000 4.7402 0.0000
0.0000 0.0000 4.7402
O V In
1 1 3
direct
0.0000 0.0000 0.0000
0.5000 0.5000 0.5000
0.5000 0.0000 0.0000
0.0000 0.0000 0.5000
0.0000 0.5000 0.0000